DFT (PBE) results for a relaxed FeAu2Cl2 crystal. Values from VASP.

Structure (Quantum ESPRESSO input):
```
&SYSTEM
  ibrav = 0, nat = 5, ntyp = 3
/
ATOMIC_SPECIES
Cl 35.45 Cl.upf
Fe 55.84 Fe.upf
Au 196.97 Au.upf
ATOMIC_POSITIONS crystal
Cl 0.426 0.426 0.000
Cl 0.574 0.574 0.000
Fe 0.000 0.000 0.000
Au 0.250 0.750 0.500
Au 0.750 0.250 0.500
CELL_PARAMETERS angstrom
4.663 -9.294 -0.150
2.349 -9.132 4.383
-5.594 8.182 -3.146
```

uncorrected formation energy: 265 meV/atom
DFT total energy: -3.48 eV/atom